No. 1
Entry from Alexandria: LiCa3Sc3S8 after structural relaxation (PBE-GGA).

Summary:
The magnetization comes out at 0.00 μB/f.u. The crystal system is trigonal. The formation energy from raw total energies comes out at -1.879 eV per atom.

Cell: 7.5789 7.5789 19.1596 Å, 90.00 90.00 120.00°
Space group R-3m (No. 166, hexagonal axes)
Asymmetric unit:
Li 0.0000 0.0000 0.0000
Ca 0.0000 0.5000 0.5000
Sc 0.0000 0.5000 0.0000
S 0.0000 0.0000 0.2567
S 0.0077 0.5039 0.2586

---

No. 2
Entry from Alexandria: LiCa2ScS4 after structural relaxation (PBE-GGA).

Summary:
The magnetization comes out at 0.00 μB/f.u. The crystal system is monoclinic. The formation energy from raw total energies comes out at -1.904 eV per atom.

Cell: 6.656 3.888 6.692 Å, 90.00 108.59 90.00°
Space group P2/m (No. 10)
Asymmetric unit:
Li 0.000 0.000 0.000
Ca 0.500 0.000 0.500
Ca 0.500 0.500 0.000
Sc 0.000 0.500 0.500
S 0.227 0.000 0.739
S 0.232 0.500 0.255

---

No. 3
Entry from Alexandria: LiCaSc2S4 after structural relaxation (PBE-GGA).

Summary:
The magnetization comes out at 0.00 μB/f.u. The crystal system is orthorhombic. The formation energy from raw total energies comes out at -1.831 eV per atom.

Cell: 3.763 12.453 13.069 Å, 90.00 90.00 90.00°
Space group Cmcm (No. 63)
Asymmetric unit:
Li 0.000 0.150 0.250
Ca 0.000 0.121 0.750
Sc 0.000 0.373 0.557
S 0.000 0.000 0.000
S 0.000 0.270 0.115
S 0.000 0.453 0.750

---

No. 4
Entry from Alexandria: Li2CaSiS4 after structural relaxation (PBE-GGA).

Summary:
The magnetization comes out at 0.00 μB/f.u. The crystal system is tetragonal. The formation energy from raw total energies comes out at -1.329 eV per atom.

Cell: 6.474 6.474 7.494 Å, 90.00 90.00 90.00°
Space group I-42m (No. 121)
Asymmetric unit:
Li 0.000 0.500 0.250
Ca 0.000 0.000 0.000
Si 0.000 0.000 0.500
S 0.192 0.192 0.662

---

No. 5
Entry from Alexandria: LiCa2SmS4 after structural relaxation (PBE-GGA).

Summary:
The magnetization comes out at 0.00 μB/f.u. The crystal system is monoclinic. The formation energy from raw total energies comes out at -1.957 eV per atom.

Cell: 6.846 4.031 6.910 Å, 90.00 108.78 90.00°
Space group P2/m (No. 10)
Asymmetric unit:
Li 0.000 0.000 0.000
Ca 0.000 0.500 0.500
Ca 0.500 0.000 0.500
Sm 0.500 0.500 0.000
S 0.250 0.000 0.757
S 0.252 0.500 0.248

---

No. 6
Entry from Alexandria: LiCa3Sm3S8 after structural relaxation (PBE-GGA).

Summary:
The magnetization comes out at 0.00 μB/f.u. The crystal system is trigonal. The formation energy from raw total energies comes out at -1.948 eV per atom.

Cell: 8.0012 8.0012 19.6821 Å, 90.00 90.00 120.00°
Space group R-3m (No. 166, hexagonal axes)
Asymmetric unit:
Li 0.0000 0.0000 0.0000
Ca 0.0000 0.5000 0.5000
Sm 0.0000 0.5000 0.0000
S 0.0000 0.0000 0.2505
S 0.0059 0.5029 0.7455

---

No. 7
Entry from Alexandria: LiCa3Sm2S6 after structural relaxation (PBE-GGA).

Summary:
The magnetization comes out at 0.00 μB/f.u. The crystal system is monoclinic. The formation energy from raw total energies comes out at -2.002 eV per atom.

Cell: 6.924 11.987 6.943 Å, 90.00 109.40 90.00°
Space group C2/m (No. 12)
Asymmetric unit:
Li 0.000 0.000 0.000
Ca 0.000 0.165 0.500
Ca 0.000 0.500 0.500
Sm 0.000 0.333 0.000
S 0.248 0.166 0.247
S 0.250 0.000 0.754

---

No. 8
Entry from Alexandria: LiCa2SnS after structural relaxation (PBE-GGA).

Summary:
The magnetization comes out at 0.00 μB/f.u. The crystal system is tetragonal. The formation energy from raw total energies comes out at -1.033 eV per atom.

Cell: 5.502 5.502 4.376 Å, 90.00 90.00 90.00°
Space group P4/mmm (No. 123)
Asymmetric unit:
Li 0.000 0.000 0.000
Ca 0.000 0.500 0.500
Sn 0.500 0.500 0.000
S 0.000 0.000 0.500

---

No. 9
Entry from Alexandria: Sr2LiCaS after structural relaxation (PBE-GGA).

Summary:
The magnetization comes out at 0.00 μB/f.u. The crystal system is tetragonal. The formation energy from raw total energies comes out at -0.708 eV per atom.

Cell: 5.921 5.921 5.484 Å, 90.00 90.00 90.00°
Space group P4/mmm (No. 123)
Asymmetric unit:
Sr 0.000 0.500 0.000
Li 0.000 0.000 0.500
Ca 0.500 0.500 0.500
S 0.500 0.500 0.000

---

No. 10
Entry from Alexandria: SrLiCa2S after structural relaxation (PBE-GGA).

Summary:
The magnetization comes out at 0.00 μB/f.u. The crystal system is tetragonal. The formation energy from raw total energies comes out at -0.703 eV per atom.

Cell: 5.493 5.493 5.957 Å, 90.00 90.00 90.00°
Space group P4/mmm (No. 123)
Asymmetric unit:
Sr 0.000 0.000 0.000
Li 0.500 0.500 0.000
Ca 0.000 0.500 0.500
S 0.000 0.000 0.500

---

No. 11
Entry from Alexandria: LiCa4Tb3S8 after structural relaxation (PBE-GGA).

Summary:
The magnetization comes out at 0.00 μB/f.u. The crystal system is trigonal. The formation energy from raw total energies comes out at -2.032 eV per atom.

Cell: 7.9133 7.9133 19.5114 Å, 90.00 90.00 120.00°
Space group R-3m (No. 166, hexagonal axes)
Asymmetric unit:
Li 0.0000 0.0000 0.0000
Ca 0.0000 0.0000 0.5000
Ca 0.0000 0.5000 0.5000
Tb 0.0000 0.5000 0.0000
S 0.0000 0.0000 0.2515
S 0.9995 0.4998 0.2526

---

No. 12
Entry from Alexandria: LiCa2TbS4 after structural relaxation (PBE-GGA).

Summary:
The magnetization comes out at 0.00 μB/f.u. The crystal system is monoclinic. The formation energy from raw total energies comes out at -1.972 eV per atom.

Cell: 6.812 3.994 6.850 Å, 90.00 108.75 90.00°
Space group P2/m (No. 10)
Asymmetric unit:
Li 0.000 0.000 0.000
Ca 0.000 0.500 0.500
Ca 0.500 0.000 0.500
Tb 0.500 0.500 0.000
S 0.252 0.500 0.244
S 0.253 0.000 0.761

---

No. 13
Entry from Alexandria: LiCaTb2S4 after structural relaxation (PBE-GGA).

Summary:
The magnetization comes out at 0.00 μB/f.u. The crystal system is orthorhombic. The formation energy from raw total energies comes out at -1.909 eV per atom.

Cell: 3.894 12.977 13.686 Å, 90.00 90.00 90.00°
Space group Cmcm (No. 63)
Asymmetric unit:
Li 0.000 0.150 0.250
Ca 0.000 0.118 0.750
Tb 0.000 0.370 0.558
S 0.000 0.000 0.000
S 0.000 0.274 0.122
S 0.000 0.454 0.750

---

No. 14
Entry from Alexandria: Li2CaTeS4 after structural relaxation (PBE-GGA).

Summary:
The magnetization comes out at 0.00 μB/f.u. The crystal system is orthorhombic. The formation energy from raw total energies comes out at -0.985 eV per atom.

Cell: 7.691 7.825 10.891 Å, 90.00 90.00 90.00°
Space group Imma (No. 74)
Asymmetric unit:
Li 0.000 0.000 0.000
Li 0.250 0.250 0.250
Ca 0.000 0.000 0.500
Te 0.250 0.250 0.750
S 0.000 0.006 0.758
S 0.241 0.250 0.995

---

No. 15
Entry from Alexandria: Li2CaTeS after structural relaxation (PBE-GGA).

Summary:
The magnetization comes out at 0.00 μB/f.u. The crystal system is tetragonal. The formation energy from raw total energies comes out at -1.375 eV per atom.

Cell: 4.648 4.648 5.500 Å, 90.00 90.00 90.00°
Space group P4/mmm (No. 123)
Asymmetric unit:
Li 0.000 0.500 0.000
Ca 0.000 0.000 0.500
Te 0.500 0.500 0.500
S 0.000 0.000 0.000

---

No. 16
Entry from Alexandria: LiCa2ThS4 after structural relaxation (PBE-GGA).

Summary:
The magnetization comes out at 0.00 μB/f.u. The crystal system is monoclinic. The formation energy from raw total energies comes out at -1.879 eV per atom.

Cell: 6.876 3.983 6.970 Å, 90.00 108.84 90.00°
Space group P2/m (No. 10)
Asymmetric unit:
Li 0.000 0.000 0.000
Ca 0.000 0.500 0.500
Ca 0.500 0.000 0.500
Th 0.500 0.500 0.000
S 0.244 0.000 0.750
S 0.250 0.500 0.243

---

No. 17
Entry from Alexandria: Li2CaThS4 after structural relaxation (PBE-GGA).

Summary:
The magnetization comes out at 0.00 μB/f.u. The crystal system is monoclinic. The formation energy from raw total energies comes out at -1.756 eV per atom.

Cell: 6.558 4.083 6.915 Å, 90.00 109.60 90.00°
Space group P2/m (No. 10)
Asymmetric unit:
Li 0.000 0.000 0.000
Li 0.000 0.500 0.500
Ca 0.500 0.000 0.500
Th 0.500 0.500 0.000
S 0.245 0.000 0.758
S 0.248 0.500 0.247

---

No. 18
Entry from Alexandria: LiCaTiS2 after structural relaxation (PBE-GGA).

Summary:
The magnetization comes out at 0.01 μB/f.u. The crystal system is tetragonal. The formation energy from raw total energies comes out at -0.316 eV per atom.

Cell: 4.820 4.820 5.154 Å, 90.00 90.00 90.00°
Space group P4/mmm (No. 123)
Asymmetric unit:
Li 0.000 0.000 0.000
Ca 0.500 0.500 0.000
Ti 0.500 0.500 0.500
S 0.000 0.500 0.500

---

No. 19
Entry from Alexandria: LiCa4Tm3S8 after structural relaxation (PBE-GGA).

Summary:
The magnetization comes out at 0.00 μB/f.u. The crystal system is trigonal. The formation energy from raw total energies comes out at -2.020 eV per atom.

Cell: 7.8339 7.8339 19.3241 Å, 90.00 90.00 120.00°
Space group R-3m (No. 166, hexagonal axes)
Asymmetric unit:
Li 0.0000 0.0000 0.0000
Ca 0.0000 0.0000 0.5000
Ca 0.0000 0.5000 0.5000
Tm 0.0000 0.5000 0.0000
S 0.0000 0.0000 0.2535
S 0.0012 0.5006 0.2542

---

No. 20
Entry from Alexandria: LiCaTmS3 after structural relaxation (PBE-GGA).

Summary:
The magnetization comes out at 0.00 μB/f.u. The crystal system is monoclinic. The formation energy from raw total energies comes out at -1.876 eV per atom.

Cell: 8.079 3.883 8.386 Å, 90.00 102.40 90.00°
Space group P2_1/m (No. 11)
Asymmetric unit:
Li 0.085 0.250 0.085
Ca 0.186 0.250 0.731
Tm 0.332 0.750 0.331
S 0.109 0.250 0.369
S 0.216 0.750 0.005
S 0.432 0.750 0.665